1.
The following is a DFT calculation (GGA-PBE) of NaPdIO5 after structural relaxation.

Cell: 5.895 5.895 7.246 Å, 99.91 99.91 109.60°
Atoms (fractional coordinates):
Na 0.179 0.821 0.750
Na 0.821 0.179 0.250
Pd 0.500 0.500 0.000
Pd 0.500 0.500 0.500
I 0.172 0.828 0.250
I 0.828 0.172 0.750
O 0.130 0.272 0.959
O 0.188 0.586 0.389
O 0.272 0.130 0.459
O 0.414 0.812 0.111
O 0.416 0.584 0.750
O 0.584 0.416 0.250
O 0.586 0.188 0.889
O 0.728 0.870 0.541
O 0.812 0.414 0.611
O 0.870 0.728 0.041

Values from the calculation:
**Energy relative to the elements, uncorrected**: -448 meV/atom

2.
The following is a DFT calculation (GGA-PBE) of K2AgIr after structural relaxation.

Cell: 6.472 6.472 6.177 Å, 104.93 104.93 24.85°
Atoms (fractional coordinates):
K 0.000 0.000 0.000
K 0.196 0.196 0.606
Ag 0.421 0.421 0.442
Ir 0.758 0.758 0.136

Values from the calculation:
**Formation energy**: 0.52 eV/atom

3.
The following is a DFT calculation (GGA-PBE) of Ba2PmB2O6 after structural relaxation.

Cell: 5.575 5.575 7.408 Å, 116.46 116.46 56.83°
Atoms (fractional coordinates):
Ba 0.206 0.206 0.178
Ba 0.794 0.794 0.822
Pm 0.000 0.000 0.500
B 0.441 0.441 0.738
B 0.559 0.559 0.262
O 0.247 0.707 0.211
O 0.277 0.277 0.659
O 0.293 0.753 0.789
O 0.707 0.247 0.211
O 0.723 0.723 0.341
O 0.753 0.293 0.789

Values from the calculation:
**Energy relative to the elements, uncorrected**: -2732 meV/atom

4.
The following is a DFT calculation (GGA-PBE) of CdSe3 after structural relaxation.

Cell: 6.364 6.364 6.364 Å, 143.05 143.05 53.24°
Atoms (fractional coordinates):
Cd 0.000 0.000 0.000
Se 0.249 0.249 0.000
Se 0.500 0.500 0.000
Se 0.751 0.751 0.000

Values from the calculation:
**Energy relative to the elements, uncorrected**: -84 meV/atom

5.
The following is a DFT calculation (GGA-PBE) of KIn4Rh after structural relaxation.

Cell: 6.002 6.002 6.002 Å, 60.00 60.00 60.00°
Atoms (fractional coordinates):
K 0.000 0.000 0.000
In 0.376 0.376 0.376
In 0.376 0.376 0.873
In 0.376 0.873 0.376
In 0.873 0.376 0.376
Rh 0.750 0.750 0.750

Values from the calculation:
**Formation energy**: 0.28 eV/atom

6.
The following is a DFT calculation (GGA-PBE) of ZrBe2As after structural relaxation.

Cell: 5.108 5.108 5.108 Å, 137.60 137.60 61.51°
Atoms (fractional coordinates):
Zr 0.000 0.000 0.000
Be 0.250 0.750 0.500
Be 0.750 0.250 0.500
As 0.500 0.500 0.000

Values from the calculation:
**Formation energy**: -0.04 eV/atom

7.
The following is a DFT calculation (GGA-PBE) of NaYBiF2 after structural relaxation.

Cell: 4.324 4.324 7.297 Å, 90.00 90.00 90.00°
Atoms (fractional coordinates):
Na 0.000 0.000 0.000
Y 0.000 0.000 0.500
Bi 0.500 0.500 0.000
F 0.000 0.500 0.500
F 0.500 0.000 0.500

Values from the calculation:
**Energy relative to the elements, uncorrected**: -1941 meV/atom

Please write out number 5 again, unchanged.
The following is a DFT calculation (GGA-PBE) of KIn4Rh after structural relaxation.

Cell: 6.002 6.002 6.002 Å, 60.00 60.00 60.00°
Atoms (fractional coordinates):
K 0.000 0.000 0.000
In 0.376 0.376 0.376
In 0.376 0.376 0.873
In 0.376 0.873 0.376
In 0.873 0.376 0.376
Rh 0.750 0.750 0.750

Values from the calculation:
**Formation energy**: 0.28 eV/atom

- Number 1 is which compound?
  NaPdIO5